1:
DFT (PBE-GGA) results for NbFeC3 after structural relaxation.

Lattice parameters (Å, degrees): 4.132 4.132 4.132 90.00 90.00 90.00
Sites, in units of the cell vectors:
Nb (0.000, 0.000, 0.000)
Fe (0.500, 0.500, 0.500)
C (0.000, 0.000, 0.500)
C (0.000, 0.500, 0.000)
C (0.500, 0.000, 0.000)

Computed properties:
The calculation puts the density of states at the Fermi level at 10.68 states/eV/f.u.



2:
DFT (PBE-GGA) results for NbFeC3 after structural relaxation.

Lattice parameters (Å, degrees): 3.696 3.696 3.696 90.00 90.00 90.00
Sites, in units of the cell vectors:
Nb (0.000, 0.000, 0.000)
Fe (0.500, 0.500, 0.500)
C (0.000, 0.500, 0.500)
C (0.500, 0.000, 0.500)
C (0.500, 0.500, 0.000)

Computed properties:
The calculation puts the density of states at the Fermi level at 11.70 states/eV/f.u.



Stability, lowest: 1



1:
DFT (PBE-GGA) results for Nb2FeC2 after structural relaxation.

Lattice parameters (Å, degrees): 5.084 5.084 5.084 133.02 133.02 68.62
Sites, in units of the cell vectors:
Nb (0.174, 0.174, 0.000)
Nb (0.826, 0.826, 0.000)
Fe (0.500, 0.500, 0.000)
C (0.250, 0.750, 0.500)
C (0.750, 0.250, 0.500)

Computed properties:
The calculation puts the density of states at the Fermi level at 3.58 states/eV/f.u.



2:
DFT (PBE-GGA) results for Nb2FeC2 after structural relaxation.

Lattice parameters (Å, degrees): 6.496 6.496 2.846 90.00 90.00 90.00
Sites, in units of the cell vectors:
Nb (0.147, 0.353, 0.000)
Nb (0.353, 0.853, 0.000)
Nb (0.647, 0.147, 0.000)
Nb (0.853, 0.647, 0.000)
Fe (0.000, 0.000, 0.000)
Fe (0.500, 0.500, 0.000)
C (0.152, 0.652, 0.500)
C (0.348, 0.152, 0.500)
C (0.652, 0.848, 0.500)
C (0.848, 0.348, 0.500)

Computed properties:
The calculation puts the density of states at the Fermi level at 3.80 states/eV/f.u.



Stability, lowest: 2